Entry from Alexandria: a relaxed ZrFeSe2 crystal (PBE).

a = 7.162 Å, b = 7.162 Å, c = 7.162 Å
α = 133.11°, β = 133.11°, γ = 68.49°
Fractional positions:
1 Zr 0.000 0.000 0.000
2 Zr 0.750 0.250 0.500
3 Fe 0.250 0.750 0.500
4 Fe 0.500 0.500 0.000
5 Se 0.161 0.625 0.036
6 Se 0.375 0.411 0.536
7 Se 0.589 0.125 0.964
8 Se 0.875 0.839 0.464

Calculated values
E_form (uncorrected) = -0.41 eV per atom
calculated density = 5.3 g/cm3
spin magnetization = 4.15 Bohr magnetons per cell
energy relative to the lowest polymorph listed for this composition = 1.06 eV/f.u.